[1]
DFT (PBE) results for crystalline HfZr2Cd2 at its relaxed geometry.

```
HfZr2Cd2
1.0
-0.590 -8.000 -1.037
6.880 -1.042 4.123
-1.797 -0.248 2.936
Zr Cd Hf
4 4 2
Cartesian
0.123 -2.898 1.859
3.650 -2.238 4.073
4.370 -6.392 4.163
0.843 -7.052 1.948
3.780 -7.655 1.666
0.488 -5.125 -0.135
5.802 -3.917 3.220
2.510 -1.387 1.419
3.145 -4.521 1.543
0.000 0.000 0.000
```

Properties
* symmetry: P4/mbm (127)
* energy above the lowest structure with this stoichiometry: 0.182 eV per atom


[2]
DFT (PBE) results for crystalline Hf12Zr6Cd at its relaxed geometry.

```
Hf12Zr6Cd
1.0
-5.673 -6.347 1.564
6.986 0.241 4.546
-2.170 7.799 2.002
Hf Zr Cd
12 6 1
Cartesian
-1.798 -3.204 3.657
0.941 4.896 4.455
2.221 -1.340 4.792
1.226 1.011 6.121
-1.597 -0.241 5.031
3.059 3.148 5.044
-3.077 3.033 3.320
-3.916 -1.455 3.068
-1.154 2.975 5.460
0.297 -1.282 2.652
0.740 1.934 3.081
-2.083 0.682 1.991
-4.792 0.990 4.548
-3.804 -4.151 1.359
2.947 5.844 6.753
0.151 -3.090 5.921
3.935 0.703 3.565
-1.008 4.782 2.191
0.000 0.000 0.000
```

Properties
* symmetry: C2/m (12)


[3]
DFT (PBE) results for crystalline Hf5Zr2Cd2 at its relaxed geometry.

```
Hf5Zr2Cd2
1.0
2.937 0.000 -0.933
-2.444 9.581 -7.695
2.097 -5.866 11.692
Hf Zr Cd
5 2 2
Cartesian
0.000 0.000 0.000
-0.302 8.052 -6.041
3.041 -0.481 4.481
-0.450 4.196 -1.417
2.893 -4.337 9.105
-1.100 6.427 -3.463
3.690 -2.712 6.527
1.696 2.610 0.248
0.895 1.105 2.816
```

Properties
* symmetry: C2/m (12)


[4]
DFT (PBE) results for crystalline Hf2ZrCd5 at its relaxed geometry.

```
Hf2ZrCd5
1.0
4.390 0.000 0.000
0.000 6.278 0.000
0.000 0.000 12.446
Hf Cd Zr
4 10 2
Cartesian
2.195 1.636 10.909
2.195 4.775 7.760
2.195 1.503 4.686
2.195 4.643 1.537
0.000 0.005 9.366
0.000 6.273 3.081
2.195 4.676 4.684
0.000 3.139 6.223
0.000 3.134 3.142
2.195 4.741 10.907
0.000 0.000 0.000
2.195 1.602 7.762
0.000 3.144 9.304
2.195 1.537 1.539
0.000 0.000 6.223
0.000 3.139 0.000
```

Properties
* symmetry: Pbam (55)


[5]
DFT (PBE) results for crystalline HfZr3Cd at its relaxed geometry.

```
HfZr3Cd
1.0
-3.723 0.678 -3.535
-0.992 -5.082 0.069
-3.460 0.727 3.784
Zr Cd Hf
3 1 1
Cartesian
-1.862 0.339 -1.767
-0.496 -2.541 0.035
-1.730 0.363 1.892
-4.087 -1.838 0.159
0.000 0.000 0.000
```

Properties
* symmetry: Pm-3m (221)
* energy above the lowest structure with this stoichiometry: 1.040 eV per atom


[6]
DFT (PBE) results for crystalline HfZr12Cd3 at its relaxed geometry.

```
HfZr12Cd3
1.0
4.484 0.000 0.000
0.000 4.484 0.000
0.000 0.000 17.896
Hf Zr Cd
1 12 3
Cartesian
0.000 0.000 0.000
2.242 0.000 15.665
2.242 0.000 11.172
2.242 2.242 4.552
2.242 0.000 6.724
2.242 0.000 2.231
0.000 2.242 11.172
2.242 2.242 8.948
0.000 2.242 15.665
0.000 2.242 6.724
2.242 2.242 0.000
0.000 2.242 2.231
2.242 2.242 13.344
0.000 0.000 13.391
0.000 0.000 8.948
0.000 0.000 4.504
```

Properties
* symmetry: P4/mmm (123)


Mass density: 8.6 10.7 10.7 9.8 6.8 7.4 (Mg/m³)
Energy of formation from the pure elements: 123 184 114 5 1001 -56 (meV per atom)